PBE-GGA SiNi7As2P2, optimized geometry; magnetic moment = 0.000 μB/atom; ΔE_f (raw) = -366.2 meV/atom; space group = No. 12; DOS at the Fermi energy = 3.429 states/eV per cell; calculated volume = 13.6 Å³ per atom
1.0
2.457 -2.457 0.000
2.457 2.457 0.000
-2.438 0.000 13.535
Si Ni As P
1 7 2 2
direct
0.000 0.000 0.000
0.065 0.565 0.133
0.303 0.303 0.606
0.435 0.935 0.867
0.500 0.500 0.000
0.565 0.065 0.133
0.697 0.697 0.394
0.935 0.435 0.867
0.213 0.213 0.427
0.787 0.787 0.573
0.385 0.385 0.767
0.615 0.615 0.233